1.
## K2Co2Cu (GGA-PBE)

Data for a geometry-optimized K2Co2Cu structure.

a = 6.424 Å, b = 6.424 Å, c = 6.939 Å
α = 90.00°, β = 90.00°, γ = 90.00°
Space group I4/mmm (No. 139)
Asymmetric unit:
K 0.000 0.500 0.250 [4 per cell]
Co 0.000 0.000 0.150 [4 per cell]
Cu 0.000 0.000 0.500 [2 per cell]

Calculated values
ΔH_f (0 K) = 1009 meV per atom

---

2.
## LuTlPt (GGA-PBE)

Data for a geometry-optimized LuTlPt structure.

a = 6.657 Å, b = 6.657 Å, c = 6.657 Å
α = 90.00°, β = 90.00°, γ = 90.00°
Space group F-43m (No. 216)
Asymmetric unit:
Lu 0.000 0.000 0.000 [4 per cell]
Tl 0.000 0.000 0.500 [4 per cell]
Pt 0.250 0.250 0.750 [4 per cell]

Calculated values
ΔH_f (0 K) = -702 meV per atom

---

3.
## LiHg4Pd5 (GGA-PBE)

Data for a geometry-optimized LiHg4Pd5 structure.

a = 3.349 Å, b = 3.349 Å, c = 15.464 Å
α = 90.00°, β = 90.00°, γ = 90.00°
Space group P4/mmm (No. 123)
Asymmetric unit:
Li 0.000 0.000 0.000 [1 per cell]
Hg 0.000 0.000 0.188 [2 per cell]
Hg 0.000 0.000 0.396 [2 per cell]
Pd 0.500 0.500 0.089 [2 per cell]
Pd 0.500 0.500 0.294 [2 per cell]
Pd 0.500 0.500 0.500 [1 per cell]

Calculated values
ΔH_f (0 K) = -214 meV per atom

---

4.
## NaCrTe2I (GGA-PBE)

Data for a geometry-optimized NaCrTe2I structure.

a = 5.519 Å, b = 5.519 Å, c = 5.891 Å
α = 90.00°, β = 90.00°, γ = 90.00°
Space group P4/mmm (No. 123)
Asymmetric unit:
Na 0.000 0.000 0.000 [1 per cell]
Cr 0.500 0.500 0.500 [1 per cell]
Te 0.000 0.500 0.000 [2 per cell]
I 0.000 0.000 0.500 [1 per cell]

Calculated values
distance to the lowest polymorph of the same formula = 0.848 eV per atom
formation energy without anion corrections = 0.66 eV per atom

---

5.
## Pa3SeS5 (GGA-PBE)

Data for a geometry-optimized Pa3SeS5 structure.

a = 12.364 Å, b = 8.957 Å, c = 10.028 Å
α = 90.00°, β = 113.67°, γ = 90.00°
Space group C2/m (No. 12)
Asymmetric unit:
Pa 0.000 0.000 0.000 [2 per cell]
Pa 0.000 0.000 0.500 [2 per cell]
Pa 0.152 0.500 0.174 [4 per cell]
Pa 0.168 0.500 0.667 [4 per cell]
Se 0.113 0.000 0.807 [4 per cell]
S 0.000 0.304 0.500 [4 per cell]
S 0.080 0.500 0.879 [4 per cell]
S 0.161 0.196 0.174 [8 per cell]
S 0.230 0.000 0.530 [4 per cell]

Calculated values
formation energy without anion corrections = -1.45 eV per atom

---

6.
## HfGa2Br6 (GGA-PBE)

Data for a geometry-optimized HfGa2Br6 structure.

a = 7.240 Å, b = 8.110 Å, c = 12.426 Å
α = 90.00°, β = 122.00°, γ = 90.00°
Space group P2_1/c (No. 14)
Asymmetric unit:
Hf 0.000 0.000 0.000 [2 per cell]
Ga 0.320 0.113 0.796 [4 per cell]
Br 0.108 0.041 0.236 [4 per cell]
Br 0.231 0.729 0.065 [4 per cell]
Br 0.344 0.173 0.046 [4 per cell]

Calculated values
formation energy without anion corrections = -1.04 eV per atom

---

7.
## MnZn2Tc (GGA-PBE)

Data for a geometry-optimized MnZn2Tc structure.

a = 3.187 Å, b = 4.207 Å, c = 8.361 Å
α = 90.00°, β = 90.00°, γ = 90.00°
Space group Cmm2 (No. 35)
Asymmetric unit:
Mn 0.000 0.000 0.000 [2 per cell]
Zn 0.000 0.000 0.507 [2 per cell]
Zn 0.000 0.500 0.242 [2 per cell]
Tc 0.000 0.500 0.768 [2 per cell]

Calculated values
ΔH_f (0 K) = 96 meV per atom
distance to the lowest polymorph of the same formula = 0.090 eV per atom

---

8.
## K6In3Cl14 (GGA-PBE)

Data for a geometry-optimized K6In3Cl14 structure.

a = 11.1231 Å, b = 11.1231 Å, c = 7.0844 Å
α = 90.00°, β = 90.00°, γ = 120.00°
Space group P3 (No. 143)
Asymmetric unit:
K 0.0477 0.4811 0.0000 [3 per cell]
K 0.3179 0.2025 0.5476 [3 per cell]
In 0.0000 0.0000 0.1124 [1 per cell]
In 0.3333 0.6667 0.5641 [1 per cell]
In 0.6667 0.3333 0.1796 [1 per cell]
Cl 0.0000 0.0000 0.7734 [1 per cell]
Cl 0.0924 0.2266 0.2498 [3 per cell]
Cl 0.1806 0.7563 0.7286 [3 per cell]
Cl 0.3333 0.6667 0.1899 [1 per cell]
Cl 0.4480 0.2466 0.9742 [3 per cell]
Cl 0.5345 0.1170 0.3884 [3 per cell]

Calculated values
formation energy without anion corrections = -1.54 eV per atom

---

Taking the records one at a time from the top gives Fermi-level density of states values of 1.309, 1.099, 0.204, 1.160, 1.118, 0.000, 0.556, 0.112 states/eV/atom.